Record 1
# Cu2HAu

A geometry-optimized Cu2HAu structure (PBE-GGA, the Alexandria database).

POSCAR file:
```
Cu2HAu
1.0
5.5831 0.0000 0.0000
0.0000 5.5831 0.0000
2.7916 2.7916 3.0212
H Au Cu
2 2 4
direct
0.5000 0.5000 0.0000
0.2500 0.7500 0.5000
0.0000 0.0000 0.0000
0.7500 0.2500 0.5000
0.4867 0.1250 0.2500
0.2633 0.6250 0.2500
0.3750 0.5133 0.7500
0.8750 0.7367 0.7500
```

Summary:
Energy above the lowest structure with this stoichiometry (meV per atom): 7
Space-group type: I-42d (122)

Record 2
# BaCaAg17

A geometry-optimized BaCaAg17 structure (PBE-GGA, the Alexandria database).

POSCAR file:
```
BaCaAg17
1.0
7.3342 0.0488 0.9199
0.8177 7.2887 0.9199
0.0542 0.0488 7.3915
Ba Ca Ag
1 1 17
direct
0.6586 0.6586 0.6586
0.3361 0.3361 0.3361
0.2968 0.0035 0.7002
0.7002 0.2968 0.0035
0.0035 0.7002 0.2968
0.2968 0.7002 0.0035
0.0035 0.2968 0.7002
0.7002 0.0035 0.2968
0.3438 0.8525 0.3438
0.3438 0.3438 0.8525
0.8525 0.3438 0.3438
0.6498 0.1585 0.6498
0.6498 0.6498 0.1585
0.1585 0.6498 0.6498
0.9986 0.5016 0.9986
0.9986 0.9986 0.5016
0.5016 0.9986 0.9986
0.9060 0.9060 0.9060
0.1014 0.1014 0.1014
```

Summary:
Raw total energy (eV per atom): -2.836
Space-group type: R3m (160)

Record 3
# Er2Nb2Ni15

A geometry-optimized Er2Nb2Ni15 structure (PBE-GGA, the Alexandria database).

POSCAR file:
```
Er2Nb2Ni15
1.0
6.3593 0.0199 0.0177
0.8447 6.3029 0.0177
0.8447 0.7414 6.2592
Er Nb Ni
2 2 15
direct
0.3496 0.3496 0.3496
0.6504 0.6504 0.6504
0.1017 0.1017 0.1017
0.8983 0.8983 0.8983
0.5000 0.0000 0.0000
0.0000 0.0000 0.5000
0.0000 0.5000 0.0000
0.0000 0.6966 0.3034
0.6966 0.3034 0.0000
0.3034 0.0000 0.6966
0.3034 0.6966 0.0000
0.6966 0.0000 0.3034
0.0000 0.3034 0.6966
0.1595 0.6541 0.6541
0.6541 0.6541 0.1595
0.6541 0.1595 0.6541
0.8405 0.3459 0.3459
0.3459 0.3459 0.8405
0.3459 0.8405 0.3459
```

Summary:
Raw total energy (eV per atom): -6.360
Space-group type: R-3m (166)

Record 4
# Sr4LiBr

A geometry-optimized Sr4LiBr structure (PBE-GGA, the Alexandria database).

POSCAR file:
```
Sr4LiBr
1.0
0.0000 5.4755 5.4755
5.4755 0.0000 5.4755
5.4755 5.4755 0.0000
Sr Li Br
4 1 1
direct
0.8772 0.3743 0.3743
0.3743 0.3743 0.8772
0.3743 0.8772 0.3743
0.3743 0.3743 0.3743
0.0000 0.0000 0.0000
0.7500 0.7500 0.7500
```

Summary:
Uncorrected formation energy (meV per atom): 114
Space-group type: F-43m (216)

Record 5
# Cs2Rb7Na

A geometry-optimized Cs2Rb7Na structure (PBE-GGA, the Alexandria database).

POSCAR file:
```
Cs2Rb7Na
1.0
12.0519 0.0000 5.8774
5.2353 12.5072 4.5600
1.3102 -0.3916 12.6086
Cs Rb Na
4 14 2
direct
0.6551 0.9048 0.7819
0.6582 0.4048 0.2819
0.3418 0.5952 0.7181
0.3449 0.0952 0.2181
0.6805 0.5384 0.8544
0.9267 0.0384 0.3544
0.2292 0.9179 0.9214
0.3896 0.1915 0.5418
0.6420 0.2500 0.7500
0.9315 0.4179 0.4214
0.1230 0.3085 0.9582
0.8770 0.6915 0.0418
0.0685 0.5821 0.5786
0.3580 0.7500 0.2500
0.6104 0.8085 0.4582
0.7708 0.0821 0.0786
0.0733 0.9616 0.6456
0.3195 0.4616 0.1456
0.9941 0.2500 0.7500
0.0059 0.7500 0.2500
```

Summary:
Raw total energy (eV per atom): -0.955
Space-group type: C2/c (15)

Record 6
# MnNi3Au

A geometry-optimized MnNi3Au structure (PBE-GGA, the Alexandria database).

POSCAR file:
```
MnNi3Au
1.0
4.2765 0.0000 0.0000
0.0000 4.2765 0.0000
0.0000 0.0000 4.2765
Ni Mn Au
3 1 1
direct
0.0000 0.5000 0.0000
0.0000 0.0000 0.5000
0.5000 0.0000 0.0000
0.0000 0.0000 0.0000
0.5000 0.5000 0.5000
```

Summary:
Energy above the lowest structure with this stoichiometry (meV per atom): 0
Space-group type: Pm-3m (221)

Record 7
# YGeIr

A geometry-optimized YGeIr structure (PBE-GGA, the Alexandria database).

POSCAR file:
```
YGeIr
1.0
-3.3955 1.3344 2.3182
2.3558 -3.5018 5.4663
3.9460 6.1505 2.2394
Y Ge Ir
4 4 4
direct
0.7500 0.4952 0.1920
0.2500 0.0048 0.6920
0.7500 0.9952 0.3080
0.2500 0.5048 0.8080
0.2500 0.7926 0.1093
0.2500 0.2926 0.3907
0.7500 0.2074 0.8907
0.7500 0.7074 0.6093
0.2500 0.1612 0.0659
0.2500 0.6612 0.4341
0.7500 0.3388 0.5659
0.7500 0.8388 0.9341
```

Summary:
Raw total energy (eV per atom): -7.581
Space-group type: Pnma (62)

Record 8
# PmDy3Tm2P6

A geometry-optimized PmDy3Tm2P6 structure (PBE-GGA, the Alexandria database).

POSCAR file:
```
PmDy3Tm2P6
1.0
-6.7605 1.4416 0.6604
2.7322 -1.0214 -6.3016
0.0234 -6.5375 2.3448
Pm Dy Tm P
1 3 2 6
direct
0.0000 0.0000 0.0000
0.1655 0.8345 0.5000
0.8345 0.1655 0.5000
0.5000 0.5000 0.5000
0.3330 0.6670 0.0000
0.6670 0.3330 0.0000
0.9165 0.5772 0.7497
0.7438 0.7438 0.2495
0.0835 0.4228 0.2503
0.5772 0.9165 0.7497
0.2562 0.2562 0.7505
0.4228 0.0835 0.2503
```

Summary:
Raw total energy (eV per atom): -6.592
Space-group type: C2/m (12)

Record 9
# TbMgGe2

A geometry-optimized TbMgGe2 structure (PBE-GGA, the Alexandria database).

POSCAR file:
```
TbMgGe2
1.0
3.5883 0.0000 0.0000
0.0000 3.5883 0.0000
0.0000 0.0000 6.4920
Ge Tb Mg
2 1 1
direct
0.0000 0.0000 0.7850
0.0000 0.0000 0.2150
0.5000 0.5000 0.5000
0.5000 0.5000 0.0000
```

Summary:
Energy above the lowest structure with this stoichiometry (meV per atom): 122
Space-group type: P4/mmm (123)

Record 10
# PmNiGe2Rh5

A geometry-optimized PmNiGe2Rh5 structure (PBE-GGA, the Alexandria database).

POSCAR file:
```
PmNiGe2Rh5
1.0
-1.0261 -4.2757 -1.3955
3.4615 -1.6646 2.5551
-4.5284 -0.7551 5.6429
Pm Ni Ge Rh
1 1 2 5
direct
0.0000 0.0000 0.5000
0.0000 0.0000 0.0000
0.5000 0.5000 0.1687
0.5000 0.5000 0.8313
0.0000 0.5000 0.2132
0.5000 0.0000 0.2132
0.0000 0.5000 0.7868
0.5000 0.0000 0.7868
0.5000 0.5000 0.5000
```

Summary:
Raw total energy (eV per atom): -6.405
Space-group type: P4/mmm (123)

Record 11
# Hf2CdGaW

A geometry-optimized Hf2CdGaW structure (PBE-GGA, the Alexandria database).

POSCAR file:
```
Hf2CdGaW
1.0
5.0583 0.0000 0.0000
0.0000 4.9519 0.0000
0.0000 0.0000 5.0583
Hf Ga W Cd
2 1 1 1
direct
0.0000 0.0000 0.5000
0.5000 0.0000 0.0000
0.0000 0.5000 0.0000
0.0000 0.0000 0.0000
0.5000 0.5000 0.5000
```

Summary:
Raw total energy (eV per atom): -6.624
Space-group type: P4/mmm (123)

Number 1: size of the total moment 0.000 μB/atom. Number 2: size of the total moment 0.000 μB/atom. Number 3: size of the total moment 0.000 μB/atom. Number 4: size of the total moment 0.004 μB/atom. Number 5: size of the total moment 0.000 μB/atom. Number 6: size of the total moment 0.810 μB/atom. Number 7: size of the total moment 0.000 μB/atom. Number 8: size of the total moment 0.000 μB/atom. Number 9: size of the total moment 0.000 μB/atom. Number 10: size of the total moment 0.195 μB/atom. Number 11: size of the total moment 0.000 μB/atom.